(1)
Below is a relaxed KGeSbTe2 crystal, with properties calculated at the PBE level.

Lattice parameters (Å, degrees): 5.9548 5.9548 5.7124 90.00 90.00 90.00
With the nearest neighbours (Å) after each atom.
Element x y z (fractional)
K (0.0000, 0.0000, 0.0000)  2 Sb 2.86, 4 Te 2.98
Ge (0.5000, 0.5000, 0.5000)  8 Te 4.13, 4 Sb 4.21
Te (0.0000, 0.5000, 0.0000)  2 K 2.98
Te (0.5000, 0.0000, 0.0000)  2 K 2.98
Sb (0.0000, 0.0000, 0.5000)  2 K 2.86

Properties
raw formation energy: 5.814 eV/f.u.

=====

(2)
Below is a relaxed KGeSb2Te crystal, with properties calculated at the PBE level.

Lattice parameters (Å, degrees): 5.7722 5.7722 5.8974 90.00 90.00 90.00
With the nearest neighbours (Å) after each atom.
Element x y z (fractional)
Ge (0.5000, 0.5000, 0.5000)  4 Te 4.08, 8 Sb 4.13
K (0.0000, 0.0000, 0.0000)  4 Sb 2.89, 2 Te 2.95
Te (0.0000, 0.0000, 0.5000)  2 K 2.95
Sb (0.0000, 0.5000, 0.0000)  2 K 2.89
Sb (0.5000, 0.0000, 0.0000)  2 K 2.89

Properties
raw formation energy: 6.505 eV/f.u.

=====

Which of these has the lowest raw formation energy? KGeSbTe2